A plane-wave DFT calculation with PBE was carried out for a geometry-optimized BaAg2Sb structure.

Unit cell a=4.9031 b=4.8185 c=5.5379 alpha=89.96 beta=90.00 gamma=90.00
Closest atoms and distances in Å follow each position.
Positions (direct):
Ba 0.5000 0.2500 0.2500  4 Sb 3.67, 8 Ag 3.70
Sb 0.5000 0.7500 0.7500  4 Ag 2.83
Ag 0.0000 0.7506 0.0045  2 Ag 2.72-2.82, 2 Sb 2.83
Ag 0.0000 0.7494 0.4955  2 Ag 2.72-2.82, 2 Sb 2.83

Calculated values
Symmetry ... Pmmm (47)

A plane-wave DFT calculation with PBE was carried out for a geometry-optimized BaAg3Sb structure.

Unit cell a=5.3849 b=5.3849 c=5.3849 alpha=90.00 beta=90.00 gamma=90.00
Closest atoms and distances in Å follow each position.
Positions (direct):
Ag 0.0000 0.0000 0.5000  2 Sb 2.69
Ag 0.5000 0.0000 0.0000  2 Sb 2.69
Ag 0.0000 0.5000 0.0000  2 Sb 2.69
Ba 0.5000 0.5000 0.5000  12 Ag 3.81
Sb 0.0000 0.0000 0.0000  6 Ag 2.69

Calculated values
E above lowest polymorph ... 0.00 kJ/mol of atoms
Symmetry ... Pm-3m (221)

A plane-wave DFT calculation with PBE was carried out for a geometry-optimized BaAgSb structure.

Unit cell a=8.5162 b=4.8519 c=4.8061 alpha=90.00 beta=90.00 gamma=90.00
Closest atoms and distances in Å follow each position.
Positions (direct):
Sb 0.4369 0.7274 0.4161  2 Ag 2.80, 1 Sb 2.97
Sb 0.7856 0.7274 0.4160  2 Ag 2.80, 1 Sb 2.97
Ba 0.1112 0.7274 0.9159  4 Sb 3.67, 8 Ag 3.68-3.69
Ba 0.6112 0.2274 0.9160  8 Sb 3.72, 4 Ag 3.75
Ag 0.9487 0.2273 0.4158  1 Ag 2.77, 2 Sb 2.80
Ag 0.2737 0.2273 0.4158  1 Ag 2.77, 2 Sb 2.80

Calculated values
Symmetry ... Pmmm (47)

A plane-wave DFT calculation with PBE was carried out for a geometry-optimized BaAgSb2 structure.

Unit cell a=4.0967 b=4.0967 c=7.2334 alpha=90.00 beta=90.00 gamma=90.00
Closest atoms and distances in Å follow each position.
Positions (direct):
Sb 0.0000 0.0000 0.4449  1 Sb 2.82
Sb 0.0000 0.0000 0.0551  1 Sb 2.82
Ag 0.5000 0.5000 0.2500  8 Sb 3.22
Ba 0.5000 0.5000 0.7500  2 Ag 3.62, 8 Sb 3.64

Calculated values
Symmetry ... P4/mmm (123)

A plane-wave DFT calculation with PBE was carried out for a geometry-optimized BaAgSb2 structure.

Unit cell a=6.2853 b=6.2853 c=6.2853 alpha=140.29 beta=129.60 gamma=66.00
Closest atoms and distances in Å follow each position.
Positions (direct):
Ba 0.2500 0.7500 0.5000  4 Ag 3.42, 8 Sb 3.56-3.62
Sb 0.5275 0.5275 0.0000  2 Ag 3.17, 4 Sb 3.47
Sb 0.9725 0.9725 0.0000  2 Ag 3.17, 4 Sb 3.47
Ag 0.7500 0.2500 0.5000  4 Sb 3.17, 4 Ba 3.42

Calculated values
Symmetry ... Immm (71)

A plane-wave DFT calculation with PBE was carried out for a geometry-optimized BaAg2Sb structure.

Unit cell a=4.0073 b=4.0074 c=7.0438 alpha=90.00 beta=90.00 gamma=90.00
Closest atoms and distances in Å follow each position.
Positions (direct):
Ag 0.0000 0.0000 0.9517  1 Ag 2.84, 4 Sb 3.17
Ag 0.0000 0.0000 0.5483  1 Ag 2.84, 4 Sb 3.17
Sb 0.5000 0.5000 0.7500  8 Ag 3.17, 2 Ba 3.52
Ba 0.5000 0.5000 0.2500  2 Sb 3.52, 8 Ag 3.53

Calculated values
Symmetry ... P4/mmm (123)

A plane-wave DFT calculation with PBE was carried out for a geometry-optimized BaAg2Sb structure.

Unit cell a=4.8537 b=4.8537 c=6.4557 alpha=67.85 beta=67.85 gamma=60.02
Closest atoms and distances in Å follow each position.
Positions (direct):
Ag 0.7055 0.7055 0.8834  3 Ag 2.89, 3 Sb 3.11-3.12
Ag 0.9993 0.9993 0.0022  3 Sb 2.88, 3 Ag 2.89
Sb 0.2941 0.2941 0.1179  6 Ag 2.88-3.12
Ba 0.5011 0.5011 0.4964  4 Sb 3.56-3.61, 4 Ag 3.56-3.60

Calculated values
Symmetry ... Cm (8)

A plane-wave DFT calculation with PBE was carried out for a geometry-optimized Ba3Ag2Sb3 structure.

Unit cell a=4.9436 b=6.8685 c=16.8939 alpha=90.00 beta=90.00 gamma=111.09
Closest atoms and distances in Å follow each position.
Positions (direct):
Ba 0.9181 0.8361 0.3978  4 Ag 3.51-3.91, 7 Sb 3.56-3.81
Ba 0.0819 0.1639 0.6022  4 Ag 3.51-3.91, 7 Sb 3.56-3.81
Ba 0.3560 0.7119 0.7500  5 Sb 3.48-3.89, 4 Ag 3.71
Ba 0.6440 0.2881 0.2500  5 Sb 3.48-3.89, 4 Ag 3.71
Ba 0.0819 0.1639 0.8978  4 Ag 3.51-3.91, 7 Sb 3.56-3.81
Ba 0.9181 0.8361 0.1022  4 Ag 3.51-3.91, 7 Sb 3.56-3.81
Sb 0.6314 0.2627 0.4556  3 Ag 2.88-3.03
Sb 0.6597 0.3193 0.7500  2 Ag 2.98
Sb 0.6314 0.2627 0.0444  3 Ag 2.88-3.03
Sb 0.3403 0.6807 0.2500  2 Ag 2.98
Sb 0.3686 0.7373 0.5444  3 Ag 2.88-3.03
Sb 0.3686 0.7373 0.9556  3 Ag 2.88-3.03
Ag 0.7768 0.5535 0.5974  4 Sb 2.88-3.03
Ag 0.2232 0.4465 0.4026  4 Sb 2.88-3.03
Ag 0.7768 0.5535 0.9026  4 Sb 2.88-3.03
Ag 0.2232 0.4465 0.0974  4 Sb 2.88-3.03

Calculated values
Symmetry ... Cmcm (63)

A plane-wave DFT calculation with PBE was carried out for a geometry-optimized BaAgSb structure.

Unit cell a=6.8381 b=6.8381 c=5.2818 alpha=90.00 beta=90.00 gamma=90.00
Closest atoms and distances in Å follow each position.
Positions (direct):
Ba 0.5000 0.5000 0.5000  4 Sb 3.56, 4 Ag 3.81
Ba 0.0000 0.0000 0.5000  4 Sb 3.56, 4 Ag 3.81
Ag 0.5000 0.0000 0.1826  2 Sb 2.62-2.66
Ag 0.0000 0.5000 0.8174  2 Sb 2.62-2.66
Sb 0.5000 0.0000 0.6865  2 Ag 2.62-2.66
Sb 0.0000 0.5000 0.3135  2 Ag 2.62-2.66

Calculated values
Symmetry ... P4/nmm (129)

A plane-wave DFT calculation with PBE was carried out for a geometry-optimized BaAgSb2 structure.

Unit cell a=6.5517 b=6.5517 c=6.5517 alpha=45.77 beta=45.77 gamma=45.77
Closest atoms and distances in Å follow each position.
Positions (direct):
Sb 0.9526 0.9526 0.9526  3 Ag 3.01, 3 Sb 3.20
Sb 0.5474 0.5474 0.5474  3 Ag 3.01, 3 Sb 3.20
Ag 0.2500 0.2500 0.2500  6 Sb 3.01
Ba 0.7500 0.7500 0.7500  8 Sb 3.56-3.73

Calculated values
Symmetry ... R-3m (166)

A plane-wave DFT calculation with PBE was carried out for a geometry-optimized BaAgSb2 structure.

Unit cell a=5.8327 b=5.8327 c=5.7484 alpha=72.81 beta=72.81 gamma=45.43
Closest atoms and distances in Å follow each position.
Positions (direct):
Sb 0.7695 0.7695 0.7287  2 Ag 2.95, 1 Sb 3.16
Sb 0.0287 0.0287 0.8749  2 Ag 2.83, 1 Sb 3.16
Ba 0.2463 0.2463 0.2471  2 Ag 3.45-3.71, 8 Sb 3.62-3.84
Ag 0.4555 0.4555 0.6494  4 Sb 2.83-2.95

Calculated values
Symmetry ... Cm (8)

A plane-wave DFT calculation with PBE was carried out for a geometry-optimized BaAgSb2 structure.

Unit cell a=4.0430 b=4.0430 c=7.4277 alpha=90.00 beta=90.00 gamma=90.00
Closest atoms and distances in Å follow each position.
Positions (direct):
Ag 0.0000 0.0000 0.4522  5 Sb 2.92-3.24
Sb 0.5000 0.5000 0.2468  4 Sb 3.18, 4 Ag 3.24
Sb 0.0000 0.0000 0.0592  1 Ag 2.92, 4 Sb 3.18
Ba 0.5000 0.5000 0.7418  4 Ag 3.58, 6 Sb 3.68-3.75

Calculated values
Symmetry ... P4mm (99)

no.,Fermi-level density of states (states/eV per cell),total moment (μB per formula unit),DFT total energy (Ry per atom)
1,1.75,0.0,-0.2392
2,3.76,0.0,-0.2144
3,1.68,0.0,-0.2641
4,1.97,0.0,-0.2576
5,2.22,0.0,-0.2578
6,2.02,0.0,-0.2224
7,3.99,0.0,-0.2412
8,6.19,0.0,-0.2741
9,0.00,0.0,-0.2502
10,2.11,0.0,-0.2663
11,2.04,0.0,-0.2682
12,1.82,0.0,-0.2557